(1)
The following is a GGA-PBE calculation of crystalline K3Pm2ZrO6 at its relaxed geometry, from Alexandria.

Geometry as POSCAR:
```
K3Pm2ZrO6
1.0
6.069 -0.002 0.000
-3.035 5.256 0.000
-1.012 -1.753 6.282
K O Pm Zr
3 6 2 1
direct
0.835 0.165 0.500
0.165 0.835 0.500
0.500 0.500 0.500
0.937 0.629 0.812
0.629 0.937 0.812
0.371 0.063 0.188
0.063 0.371 0.188
0.245 0.245 0.813
0.755 0.755 0.187
0.667 0.333 0.000
0.333 0.667 0.000
0.000 0.000 0.000
```

raw total energy = -6.7901 eV per atom
ΔE_f (raw) = -2.532 eV/atom
total magnetization = 0.00 μB/f.u.
density of states at the Fermi level = 0.31 states/eV/atom
V = 16.70 Å³ per atom

(2)
The following is a GGA-PBE calculation of crystalline Ta3FeS6 at its relaxed geometry, from Alexandria.

Geometry as POSCAR:
```
Ta3FeS6
1.0
5.742 0.000 0.000
-2.871 4.973 0.000
0.000 0.000 11.687
S Fe Ta
12 2 6
direct
0.669 0.006 0.865
0.663 0.994 0.135
0.663 0.669 0.365
0.669 0.663 0.635
0.331 0.337 0.135
0.994 0.663 0.865
0.337 0.006 0.635
0.006 0.669 0.135
0.994 0.331 0.635
0.337 0.331 0.865
0.331 0.994 0.365
0.006 0.337 0.365
0.667 0.333 0.750
0.333 0.667 0.250
0.333 0.667 0.504
0.667 0.333 0.004
0.667 0.333 0.496
0.000 0.000 0.000
0.333 0.667 0.996
0.000 0.000 0.500
```

raw total energy = -7.8678 eV per atom
ΔE_f (raw) = -0.989 eV/atom
excess energy over the best structure of this formula in the dataset = 0 meV/atom
total magnetization = 0.89 μB/f.u.
density of states at the Fermi level = 0.23 states/eV/atom
V = 16.69 Å³ per atom

(3)
The following is a GGA-PBE calculation of crystalline Fe2Sn2As at its relaxed geometry, from Alexandria.

Geometry as POSCAR:
```
Fe2Sn2As
1.0
6.598 0.000 0.000
0.000 6.598 0.000
0.000 0.000 4.188
As Sn Fe
2 4 4
direct
0.000 0.000 0.000
0.500 0.500 0.000
0.334 0.166 0.500
0.166 0.666 0.500
0.666 0.834 0.500
0.834 0.334 0.500
0.868 0.632 0.000
0.632 0.132 0.000
0.368 0.868 0.000
0.132 0.368 0.000
```

raw total energy = -5.6908 eV per atom
total magnetization = 4.96 μB/f.u.
density of states at the Fermi level = 1.00 states/eV/atom
V = 18.23 Å³ per atom
energy relative to the elements = 225 meV per atom

(4)
The following is a GGA-PBE calculation of crystalline Tc2OsN at its relaxed geometry, from Alexandria.

Geometry as POSCAR:
```
Tc2OsN
1.0
2.758 0.000 0.000
1.379 2.389 0.000
1.379 0.796 7.408
Tc Os N
2 1 1
direct
0.268 0.268 0.196
0.732 0.732 0.804
0.500 0.500 0.500
0.000 0.000 0.000
```

raw total energy = -9.8942 eV per atom
ΔE_f (raw) = 0.178 eV/atom
total magnetization = 0.00 μB/f.u.
density of states at the Fermi level = 0.82 states/eV/atom
V = 12.20 Å³ per atom

(5)
The following is a GGA-PBE calculation of crystalline CaTl2P at its relaxed geometry, from Alexandria.

Geometry as POSCAR:
```
CaTl2P
1.0
-4.380 -3.385 6.464
6.526 -5.189 1.705
2.231 -2.217 5.953
Tl Ca P
4 2 2
direct
0.875 0.827 0.750
0.375 0.423 0.750
0.173 0.625 0.250
0.577 0.125 0.250
0.750 0.250 0.500
0.000 0.000 0.000
0.250 0.750 0.500
0.500 0.500 0.000
```

raw total energy = -3.2877 eV per atom
excess energy over the best structure of this formula in the dataset = 123 meV/atom
total magnetization = 0.00 μB/f.u.
density of states at the Fermi level = 0.25 states/eV/atom
V = 27.33 Å³ per atom
energy relative to the elements = -252 meV per atom

(6)
The following is a GGA-PBE calculation of crystalline AgBi2Pb at its relaxed geometry, from Alexandria.

Geometry as POSCAR:
```
AgBi2Pb
1.0
-1.458 -0.090 4.265
-4.433 -1.835 -1.555
1.767 -4.697 0.505
Bi Pb Ag
2 1 1
direct
0.000 0.000 0.500
0.000 0.500 0.000
0.500 0.500 0.500
0.500 0.000 0.000
```

raw total energy = -3.4418 eV per atom
total magnetization = 0.00 μB/f.u.
density of states at the Fermi level = 0.42 states/eV/atom
V = 28.67 Å³ per atom
energy relative to the elements = 139 meV per atom

(7)
The following is a GGA-PBE calculation of crystalline BaTa2Mn at its relaxed geometry, from Alexandria.

Geometry as POSCAR:
```
BaTa2Mn
1.0
5.242 0.000 0.000
0.000 5.242 0.000
2.621 2.621 8.669
Ba Ta Mn
2 4 2
direct
0.000 0.000 0.000
0.750 0.250 0.500
0.375 0.125 0.250
0.375 0.625 0.750
0.875 0.625 0.750
0.375 0.625 0.250
0.500 0.500 0.000
0.250 0.750 0.500
```

raw total energy = -7.3319 eV per atom
excess energy over the best structure of this formula in the dataset = 795 meV/atom
total magnetization = 1.53 μB/f.u.
density of states at the Fermi level = 1.59 states/eV/atom
V = 29.78 Å³ per atom
energy relative to the elements = 1367 meV per atom

(8)
The following is a GGA-PBE calculation of crystalline CoRh2Cl at its relaxed geometry, from Alexandria.

Geometry as POSCAR:
```
CoRh2Cl
1.0
2.834 -0.001 0.000
-1.473 2.421 0.000
0.000 0.000 8.489
Co Cl Rh
1 1 2
direct
0.500 0.500 0.740
0.000 0.000 0.519
0.500 0.500 0.253
0.000 0.000 0.988
```

raw total energy = -5.4699 eV per atom
ΔE_f (raw) = 0.444 eV/atom
excess energy over the best structure of this formula in the dataset = 196 meV/atom
total magnetization = 2.11 μB/f.u.
density of states at the Fermi level = 1.86 states/eV/atom
V = 14.55 Å³ per atom

(9)
The following is a GGA-PBE calculation of crystalline Ho5TmSn6 at its relaxed geometry, from Alexandria.

Geometry as POSCAR:
```
Ho5TmSn6
1.0
9.159 -0.247 0.000
2.548 5.062 0.000
1.274 2.531 6.978
Sn Ho Tm
6 5 1
direct
0.751 0.414 0.668
0.249 0.919 0.668
0.751 0.081 0.332
0.749 0.757 0.000
0.251 0.243 0.000
0.249 0.586 0.332
0.500 0.500 0.000
0.500 0.168 0.665
0.000 0.334 0.331
0.500 0.832 0.335
0.000 0.666 0.669
0.000 0.000 0.000
```

raw total energy = -4.8874 eV per atom
total magnetization = 0.00 μB/f.u.
density of states at the Fermi level = 0.48 states/eV/atom
V = 27.33 Å³ per atom
energy relative to the elements = -606 meV per atom

(10)
The following is a GGA-PBE calculation of crystalline CuGe2Au6 at its relaxed geometry, from Alexandria.

Geometry as POSCAR:
```
CuGe2Au6
1.0
7.139 0.000 -0.163
0.000 5.928 0.000
-1.250 0.000 7.814
Ge Au Cu
4 12 2
direct
0.960 0.297 0.730
0.540 0.797 0.770
0.460 0.203 0.230
0.040 0.703 0.270
0.816 0.336 0.277
0.316 0.164 0.777
0.122 0.312 0.064
0.724 0.151 0.938
0.684 0.836 0.223
0.224 0.349 0.438
0.378 0.812 0.436
0.878 0.688 0.936
0.622 0.188 0.564
0.184 0.664 0.723
0.276 0.849 0.062
0.776 0.651 0.562
0.000 0.000 0.500
0.500 0.500 0.000
```

raw total energy = -3.6103 eV per atom
total magnetization = 0.00 μB/f.u.
density of states at the Fermi level = 0.25 states/eV/atom
V = 18.30 Å³ per atom
energy relative to the elements = 56 meV per atom

(11)
The following is a GGA-PBE calculation of crystalline TmZnInAu at its relaxed geometry, from Alexandria.

Geometry as POSCAR:
```
TmZnInAu
1.0
-1.577 -3.572 -2.915
2.113 -0.722 -4.331
2.765 -3.944 -0.735
Au In Tm Zn
1 1 1 1
direct
0.500 0.500 0.500
0.750 0.750 0.750
0.250 0.250 0.250
0.000 0.000 0.000
```

raw total energy = -3.4343 eV per atom
total magnetization = 0.00 μB/f.u.
density of states at the Fermi level = 0.66 states/eV/atom
V = 20.45 Å³ per atom
energy relative to the elements = -494 meV per atom

(12)
The following is a GGA-PBE calculation of crystalline ZrZnFe2 at its relaxed geometry, from Alexandria.

Geometry as POSCAR:
```
ZrZnFe2
1.0
4.388 0.000 0.000
2.194 3.800 0.000
2.194 1.267 3.583
Zr Fe Zn
1 2 1
direct
0.250 0.250 0.250
0.750 0.750 0.750
0.000 0.000 0.000
0.500 0.500 0.500
```

raw total energy = -6.6645 eV per atom
total magnetization = 4.24 μB/f.u.
density of states at the Fermi level = 0.75 states/eV/atom
V = 14.94 Å³ per atom
energy relative to the elements = 22 meV per atom